Compound: Ag2Rh15S15
Source: the Alexandria database
Functional: PBEsol
Structure: optimized geometry

a b c (Å): 9.9580 9.9580 9.9580
angles (deg): 90.00 90.00 90.00
With the nearest neighbours (Å) after each atom.
Element x y z (fractional)
1 Ag 0.0000 0.0000 0.0000  6 S 2.46
2 Ag 0.0000 0.5000 0.5000  4 S 2.49
3 Ag 0.5000 0.0000 0.5000  4 S 2.49
4 Ag 0.5000 0.5000 0.0000  4 S 2.49
5 Rh 0.1420 0.1420 0.3607  4 S 2.29-2.32
6 Rh 0.1420 0.1420 0.6393  4 S 2.29-2.32
7 Rh 0.1420 0.3607 0.1420  4 S 2.29-2.32
8 Rh 0.1420 0.3607 0.8580  4 S 2.29-2.32
9 Rh 0.1420 0.6393 0.1420  4 S 2.29-2.32
10 Rh 0.1420 0.6393 0.8580  4 S 2.29-2.32
11 Rh 0.1420 0.8580 0.3607  4 S 2.29-2.32
12 Rh 0.1420 0.8580 0.6393  4 S 2.29-2.32
13 Rh 0.2929 0.5000 0.5000  4 S 2.29
14 Rh 0.3607 0.1420 0.1420  4 S 2.29-2.32
15 Rh 0.3607 0.1420 0.8580  4 S 2.29-2.32
16 Rh 0.3607 0.8580 0.1420  4 S 2.29-2.32
17 Rh 0.3607 0.8580 0.8580  4 S 2.29-2.32
18 Rh 0.5000 0.2929 0.5000  4 S 2.29
19 Rh 0.5000 0.5000 0.2929  4 S 2.29
20 Rh 0.5000 0.5000 0.7071  4 S 2.29
21 Rh 0.5000 0.7071 0.5000  4 S 2.29
22 Rh 0.6393 0.1420 0.1420  4 S 2.29-2.32
23 Rh 0.6393 0.1420 0.8580  4 S 2.29-2.32
24 Rh 0.6393 0.8580 0.1420  4 S 2.29-2.32
25 Rh 0.6393 0.8580 0.8580  4 S 2.29-2.32
26 Rh 0.7071 0.5000 0.5000  4 S 2.29
27 Rh 0.8580 0.1420 0.3607  4 S 2.29-2.32
28 Rh 0.8580 0.1420 0.6393  4 S 2.29-2.32
29 Rh 0.8580 0.3607 0.1420  4 S 2.29-2.32
30 Rh 0.8580 0.3607 0.8580  4 S 2.29-2.32
31 Rh 0.8580 0.6393 0.1420  4 S 2.29-2.32
32 Rh 0.8580 0.6393 0.8580  4 S 2.29-2.32
33 Rh 0.8580 0.8580 0.3607  4 S 2.29-2.32
34 Rh 0.8580 0.8580 0.6393  4 S 2.29-2.32
35 S 0.0000 0.0000 0.2473  4 Rh 2.30, 1 Ag 2.46
36 S 0.0000 0.0000 0.7527  4 Rh 2.30, 1 Ag 2.46
37 S 0.0000 0.2473 0.0000  4 Rh 2.30, 1 Ag 2.46
38 S 0.0000 0.3232 0.3232  4 Rh 2.32, 1 Ag 2.49
39 S 0.0000 0.3232 0.6768  4 Rh 2.32, 1 Ag 2.49
40 S 0.0000 0.6768 0.3232  4 Rh 2.32, 1 Ag 2.49
41 S 0.0000 0.6768 0.6768  4 Rh 2.32, 1 Ag 2.49
42 S 0.0000 0.7527 0.0000  4 Rh 2.30, 1 Ag 2.46
43 S 0.2473 0.0000 0.0000  4 Rh 2.30, 1 Ag 2.46
44 S 0.2709 0.2709 0.5000  4 Rh 2.29
45 S 0.2709 0.5000 0.2709  4 Rh 2.29
46 S 0.2709 0.5000 0.7291  4 Rh 2.29
47 S 0.2709 0.7291 0.5000  4 Rh 2.29
48 S 0.3232 0.0000 0.3232  4 Rh 2.32, 1 Ag 2.49
49 S 0.3232 0.0000 0.6768  4 Rh 2.32, 1 Ag 2.49
50 S 0.3232 0.3232 0.0000  4 Rh 2.32, 1 Ag 2.49
51 S 0.3232 0.6768 0.0000  4 Rh 2.32, 1 Ag 2.49
52 S 0.5000 0.2709 0.2709  4 Rh 2.29
53 S 0.5000 0.2709 0.7291  4 Rh 2.29
54 S 0.5000 0.7291 0.2709  4 Rh 2.29
55 S 0.5000 0.7291 0.7291  4 Rh 2.29
56 S 0.6768 0.0000 0.3232  4 Rh 2.32, 1 Ag 2.49
57 S 0.6768 0.0000 0.6768  4 Rh 2.32, 1 Ag 2.49
58 S 0.6768 0.3232 0.0000  4 Rh 2.32, 1 Ag 2.49
59 S 0.6768 0.6768 0.0000  4 Rh 2.32, 1 Ag 2.49
60 S 0.7291 0.2709 0.5000  4 Rh 2.29
61 S 0.7291 0.5000 0.2709  4 Rh 2.29
62 S 0.7291 0.5000 0.7291  4 Rh 2.29
63 S 0.7291 0.7291 0.5000  4 Rh 2.29
64 S 0.7527 0.0000 0.0000  4 Rh 2.30, 1 Ag 2.46

Computed properties:
total moment: 0.00 Bohr magnetons per cell
V: 15.43 Å³/atom
E_tot: -6.51 eV per atom
formation energy without anion corrections: -0.431 eV/atom